No. 1
A geometry-optimized TiSb2Pd structure. Source: Alexandria via LeMat-Bulk, functional GGA-PBE.

Cell lengths 6.8398, 6.8398, 6.8398 Å; angles 90.00, 90.00, 90.00 degrees
With the nearest neighbours (Å) after each atom.
Atoms (fractional coordinates):
1 Ti 0.0000 0.0000 0.0000  8 Sb 2.96
2 Ti 0.0000 0.5000 0.5000  8 Sb 2.96
3 Ti 0.5000 0.0000 0.5000  8 Sb 2.96
4 Ti 0.5000 0.5000 0.0000  8 Sb 2.96
5 Sb 0.2500 0.2500 0.2500  4 Pd 2.96, 4 Ti 2.96
6 Sb 0.2500 0.2500 0.7500  4 Pd 2.96, 4 Ti 2.96
7 Sb 0.2500 0.7500 0.2500  4 Pd 2.96, 4 Ti 2.96
8 Sb 0.2500 0.7500 0.7500  4 Pd 2.96, 4 Ti 2.96
9 Sb 0.7500 0.2500 0.2500  4 Pd 2.96, 4 Ti 2.96
10 Sb 0.7500 0.2500 0.7500  4 Pd 2.96, 4 Ti 2.96
11 Sb 0.7500 0.7500 0.2500  4 Pd 2.96, 4 Ti 2.96
12 Sb 0.7500 0.7500 0.7500  4 Ti 2.96, 4 Pd 2.96
13 Pd 0.0000 0.0000 0.5000  8 Sb 2.96
14 Pd 0.0000 0.5000 0.0000  8 Sb 2.96
15 Pd 0.5000 0.0000 0.0000  8 Sb 2.96
16 Pd 0.5000 0.5000 0.5000  8 Sb 2.96

ΔE_f (raw)   -0.183 eV per atom
Magnetization   0.00 μB per atom

=====

No. 2
A geometry-optimized Ti5Sb2Pd12 structure. Source: Alexandria via LeMat-Bulk, functional GGA-PBE.

Cell lengths 7.5093, 7.5093, 6.6527 Å; angles 96.23, 96.23, 58.20 degrees
With the nearest neighbours (Å) after each atom.
Atoms (fractional coordinates):
1 Ti 0.0000 0.0000 0.0000  6 Pd 2.60-2.85
2 Ti 0.2470 0.2470 0.0391  10 Pd 2.62-2.88
3 Ti 0.3371 0.3371 0.5756  9 Pd 2.64-2.86
4 Ti 0.6629 0.6629 0.4244  9 Pd 2.64-2.86
5 Ti 0.7530 0.7530 0.9609  10 Pd 2.62-2.88
6 Sb 0.2126 0.7874 0.5000  6 Pd 2.68-2.78
7 Sb 0.7874 0.2126 0.5000  6 Pd 2.68-2.78
8 Pd 0.0146 0.5904 0.2909  4 Ti 2.64-2.83, 3 Pd 2.76-2.90, 1 Sb 2.78
9 Pd 0.1462 0.1462 0.3547  3 Ti 2.62-2.85, 2 Sb 2.74, 4 Pd 2.81-2.83
10 Pd 0.1894 0.5973 0.9135  4 Ti 2.60-2.88, 5 Pd 2.75-2.89
11 Pd 0.4027 0.8106 0.0865  4 Ti 2.60-2.88, 5 Pd 2.75-2.89
12 Pd 0.4096 0.9854 0.7091  4 Ti 2.64-2.83, 3 Pd 2.76-2.90, 1 Sb 2.78
13 Pd 0.4511 0.4511 0.2569  2 Sb 2.68, 3 Ti 2.74-2.88, 6 Pd 2.75-2.90
14 Pd 0.5489 0.5489 0.7431  2 Sb 2.68, 3 Ti 2.74-2.88, 6 Pd 2.75-2.90
15 Pd 0.5904 0.0146 0.2909  4 Ti 2.64-2.83, 3 Pd 2.76-2.90, 1 Sb 2.78
16 Pd 0.5973 0.1894 0.9135  4 Ti 2.60-2.88, 5 Pd 2.75-2.89
17 Pd 0.8106 0.4027 0.0865  4 Ti 2.60-2.88, 5 Pd 2.75-2.89
18 Pd 0.8538 0.8538 0.6453  3 Ti 2.62-2.85, 2 Sb 2.74, 4 Pd 2.81-2.83
19 Pd 0.9854 0.4096 0.7091  4 Ti 2.64-2.83, 3 Pd 2.76-2.90, 1 Sb 2.78

ΔE_f (raw)   -0.462 eV per atom
Magnetization   0.03 μB per atom

=====

No. 3
A geometry-optimized Ti3SbPd structure. Source: Alexandria via LeMat-Bulk, functional GGA-PBE.

Cell lengths 6.5221, 6.5221, 5.1902 Å; angles 90.00, 90.00, 120.00 degrees
With the nearest neighbours (Å) after each atom.
Atoms (fractional coordinates):
1 Ti 0.1973 0.3946 0.2500  2 Pd 2.58, 2 Ti 2.66
2 Ti 0.1973 0.8027 0.2500  2 Pd 2.58, 2 Ti 2.66
3 Ti 0.3946 0.1973 0.7500  2 Pd 2.58, 2 Ti 2.66
4 Ti 0.6054 0.8027 0.2500  2 Pd 2.58, 2 Ti 2.66
5 Ti 0.8027 0.1973 0.7500  2 Pd 2.58, 2 Ti 2.66
6 Ti 0.8027 0.6054 0.7500  2 Pd 2.58, 2 Ti 2.66
7 Sb 0.3333 0.6667 0.7500  12 Ti 3.02-3.28
8 Sb 0.6667 0.3333 0.2500  12 Ti 3.02-3.28
9 Pd 0.0000 0.0000 0.0000  6 Ti 2.58, 2 Pd 2.60
10 Pd 0.0000 0.0000 0.5000  6 Ti 2.58, 2 Pd 2.60

ΔE_f (raw)   -0.058 eV per atom
Magnetization   0.41 μB per atom